The following is a SCAN calculation of a PBEsol-optimized structure of Dy5SbAu2, from the Alexandria database.

Summary:
The calculation puts the formation energy without anion corrections at -0.96 eV per atom. As for the symmetry: I4/mcm, No. 140. The calculation puts the total magnetization at 0.00 μB per formula unit. As for the total DFT energy (no corrections): -52.775 eV/atom. The density of states at the Fermi level is 11.59 states/eV/cell.

Cell lengths 7.945, 8.520, 7.945 Å; angles 62.21, 90.00, 117.79 degrees
Positions (direct):
Dy: 0.000 0.000 0.000
Dy: 0.513 0.714 0.299
Dy: 0.013 0.714 0.487
Dy: 0.987 0.286 0.513
Dy: 0.701 0.714 0.799
Dy: 0.799 0.286 0.013
Dy: 0.500 0.000 0.500
Dy: 0.201 0.714 0.987
Dy: 0.487 0.286 0.701
Dy: 0.299 0.286 0.201
Au: 0.136 0.000 0.636
Au: 0.636 0.000 0.864
Au: 0.864 0.000 0.364
Au: 0.364 0.000 0.136
Sb: 0.750 0.500 0.250
Sb: 0.250 0.500 0.750

=====

The following is a SCAN calculation of a PBEsol-optimized structure of Dy3Sb4Au3, from the Alexandria database.

Summary:
The calculation puts the formation energy without anion corrections at -1.02 eV per atom. As for the symmetry: I-43d, No. 220. The calculation puts the total magnetization at 0.00 μB per formula unit. As for the total DFT energy (no corrections): -51.007 eV/atom.

Cell lengths 8.464, 8.464, 8.464 Å; angles 109.47, 109.47, 109.47 degrees
Positions (direct):
Sb: 0.000 0.500 0.179
Sb: 0.321 0.321 0.821
Sb: 0.821 0.821 0.321
Sb: 0.679 0.000 0.000
Sb: 0.000 0.500 0.679
Sb: 0.500 0.179 0.500
Sb: 0.179 0.000 0.000
Sb: 0.500 0.679 0.500
Au: 0.125 0.875 0.250
Au: 0.375 0.625 0.750
Au: 0.250 0.375 0.125
Au: 0.625 0.250 0.875
Au: 0.750 0.125 0.375
Au: 0.875 0.750 0.625
Dy: 0.125 0.250 0.375
Dy: 0.625 0.375 0.250
Dy: 0.750 0.625 0.875
Dy: 0.375 0.750 0.125
Dy: 0.250 0.875 0.625
Dy: 0.875 0.125 0.750

=====

The following is a SCAN calculation of a PBEsol-optimized structure of ErAu, from the Alexandria database.

Summary:
As for the symmetry: Pm-3m, No. 221. The calculation puts the total magnetization at 0.00 μB per formula unit. As for the total DFT energy (no corrections): -60.876 eV/atom. The density of states at the Fermi level is 0.73 states/eV/cell.

Cell lengths 3.508, 3.508, 3.508 Å; angles 90.00, 90.00, 90.00 degrees
Positions (direct):
Er: 0.000 0.000 0.000
Au: 0.500 0.500 0.500

=====

The following is a SCAN calculation of a PBEsol-optimized structure of ErAu2, from the Alexandria database.

Summary:
As for the symmetry: I4/mmm, No. 139. The calculation puts the total magnetization at 0.00 μB per formula unit. As for the total DFT energy (no corrections): -63.973 eV/atom. The density of states at the Fermi level is 0.92 states/eV/cell.

Cell lengths 3.645, 3.645, 5.125 Å; angles 110.83, 110.83, 90.00 degrees
Positions (direct):
Au: 0.166 0.166 0.331
Au: 0.834 0.834 0.669
Er: 0.500 0.500 0.000

=====

The following is a SCAN calculation of a PBEsol-optimized structure of ErAu4, from the Alexandria database.

Summary:
As for the symmetry: I4/m, No. 87. The calculation puts the total magnetization at 0.00 μB per formula unit. As for the total DFT energy (no corrections): -66.121 eV/atom. The density of states at the Fermi level is 1.37 states/eV/cell.

Cell lengths 4.119, 5.127, 5.127 Å; angles 80.71, 66.32, 66.32 degrees
Positions (direct):
Au: 0.400 0.799 0.401
Au: 0.801 0.599 0.799
Au: 0.199 0.401 0.201
Au: 0.600 0.201 0.599
Er: 0.000 0.000 0.000

=====

The following is a SCAN calculation of a PBEsol-optimized structure of Er2InAu2, from the Alexandria database.

Summary:
As for the symmetry: P4/mbm, No. 127. The calculation puts the total magnetization at 0.00 μB per formula unit. As for the total DFT energy (no corrections): -55.528 eV/atom. The density of states at the Fermi level is 6.24 states/eV/cell.

Cell lengths 3.636, 7.776, 7.776 Å; angles 90.00, 90.00, 90.00 degrees
Positions (direct):
Au: 0.000 0.871 0.371
Au: 0.000 0.129 0.629
Au: 0.000 0.371 0.129
Au: 0.000 0.629 0.871
In: 0.000 0.500 0.500
In: 0.000 0.000 0.000
Er: 0.500 0.332 0.832
Er: 0.500 0.168 0.332
Er: 0.500 0.832 0.668
Er: 0.500 0.668 0.168

=====

The following is a SCAN calculation of a PBEsol-optimized structure of LiErAu2, from the Alexandria database.

Summary:
As for the symmetry: Fm-3m, No. 225. The calculation puts the total magnetization at 0.00 μB per formula unit. As for the total DFT energy (no corrections): -48.650 eV/atom. The density of states at the Fermi level is 2.60 states/eV/cell.

Cell lengths 4.737, 4.737, 4.737 Å; angles 60.00, 60.00, 60.00 degrees
Positions (direct):
Li: 0.000 0.000 0.000
Au: 0.750 0.750 0.750
Au: 0.250 0.250 0.250
Er: 0.500 0.500 0.500

=====

The following is a SCAN calculation of a PBEsol-optimized structure of ErMgAu2, from the Alexandria database.

Summary:
As for the symmetry: Fm-3m, No. 225. The calculation puts the total magnetization at 0.00 μB per formula unit. As for the total DFT energy (no corrections): -49.391 eV/atom. The density of states at the Fermi level is 1.85 states/eV/cell.

Cell lengths 4.797, 4.797, 4.797 Å; angles 60.00, 60.00, 60.00 degrees
Positions (direct):
Er: 0.500 0.500 0.500
Au: 0.750 0.750 0.750
Au: 0.250 0.250 0.250
Mg: 0.000 0.000 0.000

=====

The following is a SCAN calculation of a PBEsol-optimized structure of Er2PdAu, from the Alexandria database.

Summary:
As for the symmetry: Fm-3m, No. 225. The calculation puts the total magnetization at 0.00 μB per formula unit. As for the total DFT energy (no corrections): -51.717 eV/atom. The density of states at the Fermi level is 2.34 states/eV/cell.

Cell lengths 4.896, 4.896, 4.896 Å; angles 60.00, 60.00, 60.00 degrees
Positions (direct):
Pd: 0.000 0.000 0.000
Au: 0.500 0.500 0.500
Er: 0.750 0.750 0.750
Er: 0.250 0.250 0.250

=====

The following is a SCAN calculation of a PBEsol-optimized structure of Er5SbAu2, from the Alexandria database.

Summary:
The calculation puts the formation energy without anion corrections at -0.97 eV per atom. As for the symmetry: I4/mcm, No. 140. The calculation puts the total magnetization at 0.00 μB per formula unit. As for the total DFT energy (no corrections): -54.374 eV/atom. The density of states at the Fermi level is 11.54 states/eV/cell.

Cell lengths 7.876, 8.451, 7.876 Å; angles 62.23, 90.00, 117.77 degrees
Positions (direct):
Sb: 0.250 0.500 0.750
Sb: 0.750 0.500 0.250
Er: 0.701 0.714 0.487
Er: 0.799 0.286 0.701
Er: 0.987 0.286 0.201
Er: 0.013 0.714 0.799
Er: 0.000 0.000 0.000
Er: 0.487 0.286 0.013
Er: 0.201 0.714 0.299
Er: 0.513 0.714 0.987
Er: 0.299 0.286 0.513
Er: 0.500 0.000 0.500
Au: 0.636 0.000 0.136
Au: 0.864 0.000 0.636
Au: 0.136 0.000 0.364
Au: 0.364 0.000 0.864

=====

The following is a SCAN calculation of a PBEsol-optimized structure of Er3Sb4Au3, from the Alexandria database.

Summary:
The calculation puts the formation energy without anion corrections at -0.98 eV per atom. As for the symmetry: I-43d, No. 220. The calculation puts the total magnetization at 0.00 μB per formula unit. As for the total DFT energy (no corrections): -51.735 eV/atom.

Cell lengths 8.429, 8.429, 8.429 Å; angles 109.47, 109.47, 109.47 degrees
Positions (direct):
Er: 0.125 0.250 0.375
Er: 0.750 0.625 0.875
Er: 0.375 0.750 0.125
Er: 0.625 0.375 0.250
Er: 0.250 0.875 0.625
Er: 0.875 0.125 0.750
Sb: 0.500 0.681 0.500
Sb: 0.819 0.819 0.319
Sb: 0.681 0.000 0.000
Sb: 0.000 0.500 0.181
Sb: 0.000 0.500 0.681
Sb: 0.319 0.319 0.819
Sb: 0.181 0.000 0.000
Sb: 0.500 0.181 0.500
Au: 0.250 0.375 0.125
Au: 0.875 0.750 0.625
Au: 0.750 0.125 0.375
Au: 0.625 0.250 0.875
Au: 0.125 0.875 0.250
Au: 0.375 0.625 0.750

=====

The following is a SCAN calculation of a PBEsol-optimized structure of Er7Te2Au2, from the Alexandria database.

Summary:
The calculation puts the formation energy without anion corrections at -1.00 eV per atom. As for the symmetry: C2/m, No. 12. The calculation puts the total magnetization at 0.00 μB per formula unit. As for the total DFT energy (no corrections): -52.378 eV/atom. The density of states at the Fermi level is 18.94 states/eV/cell.

Cell lengths 3.922, 9.100, 16.835 Å; angles 104.05, 90.00, 102.44 degrees
Positions (direct):
Er: 0.824 0.649 0.468
Er: 0.999 0.998 0.667
Er: 0.780 0.559 0.194
Er: 0.810 0.620 0.680
Er: 0.001 0.002 0.333
Er: 0.426 0.852 0.828
Er: 0.574 0.148 0.172
Er: 0.190 0.380 0.320
Er: 0.220 0.441 0.806
Er: 0.000 0.000 0.000
Er: 0.176 0.351 0.532
Er: 0.338 0.676 0.019
Er: 0.662 0.324 0.981
Er: 0.500 0.000 0.500
Te: 0.934 0.869 0.150
Te: 0.066 0.131 0.850
Te: 0.634 0.269 0.663
Te: 0.366 0.731 0.337
Au: 0.830 0.660 0.889
Au: 0.619 0.237 0.400
Au: 0.381 0.763 0.600
Au: 0.170 0.340 0.111